Below is a geometry-optimized K3CaHg structure, with properties calculated at the PBE level.

a b c (Å): 7.7228 7.7228 7.7228
angles (deg): 90.00 90.00 90.00
Last column: nearest neighbours and their distance in Å.
Sites, in units of the cell vectors:
K1 0.0000 0.0000 0.5000  2 Ca 3.86
K2 0.5000 0.0000 0.0000  2 Ca 3.86
K3 0.0000 0.5000 0.0000  2 Ca 3.86
Ca1 0.0000 0.0000 0.0000  6 K 3.86
Hg1 0.5000 0.5000 0.5000  12 K 5.46

**Total magnetization**: 0.0 μB per formula unit
**Symmetry**: Pm-3m (221)
**DOS at the Fermi energy**: 4.115 states/eV/cell
**Energy above the lowest structure with this stoichiometry**: 139 kJ/mol of formula units
**Crystal system**: cubic
**Mass density**: 1.29 Mg/m³